# 1
First-principles (GGA-PBE) data for a relaxed Ac3Nd3Y crystal, as listed in the Alexandria database.

Results
ΔE_f, eV per atom: 0.18
ρ, g/cm3: 7.1

```
data_Ac3Nd3Y
_cell_length_a 13.893
_cell_length_b 5.696
_cell_length_c 14.168
_cell_angle_alpha 90.00
_cell_angle_beta 90.00
_cell_angle_gamma 90.00
_space_group_name_H-M_alt 'P n m a'
_space_group_IT_number 62
_space_group_name_Hall '-P 2ac 2n'
loop_
_atom_site_label
_atom_site_type_symbol
_atom_site_fract_x
_atom_site_fract_y
_atom_site_fract_z
Ac1 Ac 0.092 0.250 0.061
Ac2 Ac 0.095 0.250 0.559
Ac3 Ac 0.187 0.750 0.365
Nd1 Nd 0.036 0.250 0.313
Nd2 Nd 0.162 0.750 0.935
Nd3 Nd 0.207 0.750 0.701
Y1 Y 0.043 0.250 0.813
```

---

# 2
First-principles (GGA-PBE) data for a relaxed Ac4SbTe2Pb crystal, as listed in the Alexandria database.

Results
ρ, g/cm3: 7.9

```
data_Ac4SbTe2Pb
_cell_length_a 8.283
_cell_length_b 4.819
_cell_length_c 8.330
_cell_angle_alpha 90.00
_cell_angle_beta 109.63
_cell_angle_gamma 90.00
_space_group_name_H-M_alt 'P 1 2/m 1'
_space_group_IT_number 10
_space_group_name_Hall '-P 2y'
loop_
_atom_site_label
_atom_site_type_symbol
_atom_site_fract_x
_atom_site_fract_y
_atom_site_fract_z
Ac1 Ac 0.240 0.000 0.246
Ac2 Ac 0.240 0.500 0.748
Sb1 Sb 0.000 0.000 0.500
Te1 Te 0.500 0.000 0.000
Te2 Te 0.500 0.500 0.500
Pb1 Pb 0.000 0.500 0.000
```

---

# 3
First-principles (GGA-PBE) data for a relaxed TbGaBr2 crystal, as listed in the Alexandria database.

Results
ρ, g/cm3: 4.8

```
data_TbGaBr2
_cell_length_a 3.9904
_cell_length_b 3.9904
_cell_length_c 28.9762
_cell_angle_alpha 90.00
_cell_angle_beta 90.00
_cell_angle_gamma 120.00
_space_group_name_H-M_alt 'R -3 m'
_space_group_IT_number 166
_space_group_name_Hall '-R 3 2"'
loop_
_atom_site_label
_atom_site_type_symbol
_atom_site_fract_x
_atom_site_fract_y
_atom_site_fract_z
Tb1 Tb 0.0000 0.0000 0.0000
Ga1 Ga 0.0000 0.0000 0.5000
Br1 Br 0.0000 0.0000 0.0959
```

---

# 4
First-principles (GGA-PBE) data for a relaxed BaP2O2 crystal, as listed in the Alexandria database.

Results
Polymorph energy (0 for the lowest one), meV/atom: 1292
ρ, g/cm3: 2.6

```
data_BaP2O2
_cell_length_a 4.366
_cell_length_b 4.366
_cell_length_c 7.648
_cell_angle_alpha 90.00
_cell_angle_beta 90.00
_cell_angle_gamma 90.00
_space_group_name_H-M_alt 'P 4/m m m'
_space_group_IT_number 123
_space_group_name_Hall '-P 4 2'
loop_
_atom_site_label
_atom_site_type_symbol
_atom_site_fract_x
_atom_site_fract_y
_atom_site_fract_z
Ba1 Ba 0.000 0.000 0.000
P1 P 0.000 0.000 0.500
P2 P 0.500 0.500 0.500
O1 O 0.000 0.500 0.000
```

---

# 5
First-principles (GGA-PBE) data for a relaxed TlInW2 crystal, as listed in the Alexandria database.

Results
ΔE_f, eV per atom: 0.94
Polymorph energy (0 for the lowest one), meV/atom: 406
ρ, g/cm3: 15.0

```
data_TlInW2
_cell_length_a 3.263
_cell_length_b 4.776
_cell_length_c 4.879
_cell_angle_alpha 90.00
_cell_angle_beta 90.00
_cell_angle_gamma 90.00
_space_group_name_H-M_alt 'P m m m'
_space_group_IT_number 47
_space_group_name_Hall '-P 2 2'
loop_
_atom_site_label
_atom_site_type_symbol
_atom_site_fract_x
_atom_site_fract_y
_atom_site_fract_z
Tl1 Tl 0.000 0.000 0.000
In1 In 0.500 0.000 0.500
W1 W 0.000 0.500 0.500
W2 W 0.500 0.500 0.000
```

---

# 6
First-principles (GGA-PBE) data for a relaxed Pa2CoSi3 crystal, as listed in the Alexandria database.

Results
Polymorph energy (0 for the lowest one), meV/atom: 7
ρ, g/cm3: 9.3

```
data_Pa2CoSi3
_cell_length_a 3.897
_cell_length_b 4.038
_cell_length_c 6.874
_cell_angle_alpha 90.00
_cell_angle_beta 90.00
_cell_angle_gamma 90.00
_space_group_name_H-M_alt 'P m m 2'
_space_group_IT_number 25
_space_group_name_Hall 'P 2 -2'
loop_
_atom_site_label
_atom_site_type_symbol
_atom_site_fract_x
_atom_site_fract_y
_atom_site_fract_z
Pa1 Pa 0.000 0.000 0.000
Pa2 Pa 0.000 0.500 0.486
Co1 Co 0.500 0.000 0.320
Si1 Si 0.500 0.000 0.649
Si2 Si 0.500 0.500 0.165
Si3 Si 0.500 0.500 0.823
```

---

# 7
First-principles (GGA-PBE) data for a relaxed Bi2Te2Pd3 crystal, as listed in the Alexandria database.

Results
Polymorph energy (0 for the lowest one), meV/atom: 28
ρ, g/cm3: 9.6

```
data_Bi2Te2Pd3
_cell_length_a 14.374
_cell_length_b 3.986
_cell_length_c 6.035
_cell_angle_alpha 90.00
_cell_angle_beta 98.53
_cell_angle_gamma 90.00
_space_group_name_H-M_alt 'C 1 2/m 1'
_space_group_IT_number 12
_space_group_name_Hall '-C 2y'
loop_
_atom_site_label
_atom_site_type_symbol
_atom_site_fract_x
_atom_site_fract_y
_atom_site_fract_z
Bi1 Bi 0.155 0.000 0.377
Te1 Te 0.098 0.500 0.823
Pd1 Pd 0.000 0.000 0.000
Pd2 Pd 0.247 0.500 0.167
```

---

# 8
First-principles (GGA-PBE) data for a relaxed TmTlIn2 crystal, as listed in the Alexandria database.

Results
ΔE_f, eV per atom: -0.16
ρ, g/cm3: 9.3

```
data_TmTlIn2
_cell_length_a 3.794
_cell_length_b 3.794
_cell_length_c 7.488
_cell_angle_alpha 90.00
_cell_angle_beta 90.00
_cell_angle_gamma 90.00
_space_group_name_H-M_alt 'P 4/m m m'
_space_group_IT_number 123
_space_group_name_Hall '-P 4 2'
loop_
_atom_site_label
_atom_site_type_symbol
_atom_site_fract_x
_atom_site_fract_y
_atom_site_fract_z
Tm1 Tm 0.000 0.000 0.000
Tl1 Tl 0.000 0.000 0.500
In1 In 0.500 0.500 0.245
```

---

# 9
First-principles (GGA-PBE) data for a relaxed SrTmScPt2 crystal, as listed in the Alexandria database.

Results
ΔE_f, eV per atom: -1.00
ρ, g/cm3: 9.2

```
data_SrTmScPt2
_cell_length_a 4.574
_cell_length_b 4.574
_cell_length_c 11.934
_cell_angle_alpha 90.00
_cell_angle_beta 90.00
_cell_angle_gamma 90.00
_space_group_name_H-M_alt 'I -4 m 2'
_space_group_IT_number 119
_space_group_name_Hall 'I -4 -2'
loop_
_atom_site_label
_atom_site_type_symbol
_atom_site_fract_x
_atom_site_fract_y
_atom_site_fract_z
Sr1 Sr 0.000 0.000 0.000
Tm1 Tm 0.000 0.500 0.250
Sc1 Sc 0.000 0.500 0.750
Pt1 Pt 0.000 0.000 0.384
```

---

It is found that the uncorrected energy values, taken in the order of the records, are -31.84; -40.48; -13.62; -20.02; -27.27; -46.36; -31.65; -12.94; -29.58 eV per formula unit.
It is found that the calculated volume values, taken in the order of the records, are 280.27; 313.14; 133.20; 145.77; 76.04; 108.17; 170.98; 107.77; 124.85 Å³/f.u..